First-principles (PBE) data for crystalline LaGaAg3 at its relaxed geometry, as listed in Alexandria via LeMat-Bulk.

The structure in extended XYZ format:
```
5
Lattice="-1.077 2.728 -4.025 2.837 -2.996 -2.790 -3.950 -2.896 -0.906" Properties=species:S:1:pos:R:3 pbc="T T T"
Ag -1.975 -1.448 -0.453
Ag -0.538 1.364 -2.013
Ag 1.418 -1.498 -1.395
Ga 0.000 0.000 0.000
La -1.095 -1.582 -3.861
```

Computed properties:
Its crystal system is cubic. The calculation puts the energy relative to the lowest polymorph listed for this composition at 0.2362 eV/atom. The energy of formation is -0.17 eV/f.u. The final energy comes out at -16.68 eV for the cell shown.